(1)
A relaxed structure of BiIN2. Source: Alexandria, functional GGA-PBE.

Cell: 4.9956 4.9956 7.4727 Å, 70.47 70.47 90.00°
Fractional positions:
1 I 0.5000 0.5000 0.0000
2 I 0.2500 0.7500 0.5000
3 Bi 0.0000 0.0000 0.0000
4 Bi 0.7500 0.2500 0.5000
5 N 0.6093 0.1250 0.2500
6 N 0.1407 0.6250 0.2500
7 N 0.3750 0.3907 0.7500
8 N 0.8750 0.8593 0.7500

## Properties
VASP energy: -32.371 eV per cell
Energy above the lowest structure with this stoichiometry: 0.429 eV per atom
Magnetic moment: 0.000 μB/cell
N(E_F): 2.3 states/eV per cell

(2)
A relaxed structure of Bi2I3N2. Source: Alexandria, functional GGA-PBE.

Cell: 3.3643 7.9184 9.7893 Å, 79.20 80.11 77.73°
Fractional positions:
1 Bi 0.7033 0.9339 0.6595
2 Bi 0.2967 0.0661 0.3405
3 I 0.0000 0.0000 0.0000
4 I 0.6186 0.4845 0.2783
5 I 0.3814 0.5155 0.7217
6 N 0.1630 0.1039 0.5701
7 N 0.8370 0.8961 0.4299

## Properties
VASP energy: -25.340 eV per cell
Magnetic moment: 1.031 μB/cell
N(E_F): 4.9 states/eV per cell